The following is a PBE-GGA calculation of LiLa2InH after structural relaxation, from Alexandria via LeMat-Bulk.

```
LiLa2InH
1.0
4.929 0.000 0.000
0.000 4.929 0.000
0.000 0.000 4.858
Li La In H
1 2 1 1
Direct
0.000 0.000 0.000
0.000 0.500 0.500
0.500 0.000 0.500
0.500 0.500 0.000
0.500 0.500 0.500
```

Results
spin magnetization	0.0	Bohr magnetons per cell
volume	118	Å³/cell
E above lowest polymorph	0.781	eV per formula unit